# 1
Below is a relaxed structure of Cu6SeS2Br2, with properties calculated at the PBE level.

abc: 6.077 6.077 5.962
angles: 98.52 98.52 120.40
Sites, in units of the cell vectors:
Cu1 0.161 0.424 0.820
Cu2 0.424 0.161 0.820
Br1 0.660 0.340 0.500
Cu3 0.243 0.243 0.198
Br2 0.340 0.660 0.500
Cu4 0.576 0.839 0.180
Cu5 0.839 0.576 0.180
S1 0.823 0.177 0.000
Cu6 0.757 0.757 0.802
Se1 0.000 0.000 0.500
S2 0.177 0.823 0.000

- Formation energy without anion corrections: 30 meV per atom
- Total moment: 0.00 μB/cell
- Crystal system: monoclinic

***

# 2
Below is a relaxed structure of CsTmMn2Cl8, with properties calculated at the PBE level.

abc: 6.451 6.451 11.517
angles: 73.74 73.74 60.00
Sites, in units of the cell vectors:
Mn1 0.758 0.758 0.726
Cl1 0.312 0.312 0.065
Cl2 0.766 0.439 0.655
Cl3 0.688 0.688 0.935
Cs1 0.000 0.000 0.000
Cl4 0.139 0.766 0.655
Cl5 0.234 0.861 0.345
Tm1 0.500 0.500 0.500
Cl6 0.439 0.139 0.655
Cl7 0.561 0.234 0.345
Cl8 0.861 0.561 0.345
Mn2 0.242 0.242 0.274

- Formation energy without anion corrections: -1605 meV per atom
- Total moment: 10.00 μB/cell
- Crystal system: trigonal

***

# 3
Below is a relaxed structure of Sr4SbI5, with properties calculated at the PBE level.

abc: 4.814 9.470 12.461
angles: 123.66 101.14 90.00
Sites, in units of the cell vectors:
Sb1 0.500 0.000 0.000
I1 0.833 0.007 0.667
Sr1 0.999 0.235 0.998
I2 0.167 0.993 0.333
Sr2 0.001 0.765 0.002
I3 0.170 0.486 0.340
Sr3 0.661 0.222 0.323
I4 0.500 0.500 0.000
Sr4 0.339 0.778 0.677
I5 0.830 0.514 0.660

- Formation energy without anion corrections: -1572 meV per atom
- Total moment: 0.00 μB/cell
- Crystal system: monoclinic

***

# 4
Below is a relaxed structure of PuTlS2, with properties calculated at the PBE level.

abc: 4.076 4.076 7.893
angles: 75.04 75.04 60.00
Sites, in units of the cell vectors:
S1 0.066 0.066 0.802
S2 0.271 0.271 0.188
Pu1 0.668 0.668 0.997
Tl1 0.496 0.496 0.513

- Formation energy without anion corrections: -1204 meV per atom
- Total moment: 5.00 μB/cell
- Crystal system: trigonal

***

# 5
Below is a relaxed structure of Li2ThPd8, with properties calculated at the PBE level.

abc: 4.168 6.355 7.380
angles: 106.56 106.40 90.00
Sites, in units of the cell vectors:
Pd1 0.685 0.924 0.370
Li1 0.227 0.648 0.454
Pd2 0.403 0.528 0.806
Th1 0.500 0.000 0.000
Li2 0.773 0.352 0.546
Pd3 0.597 0.472 0.194
Pd4 0.048 0.723 0.095
Pd5 0.146 0.208 0.292
Pd6 0.952 0.277 0.905
Pd7 0.315 0.076 0.630
Pd8 0.854 0.792 0.708

- Formation energy from the elements: -0.5238 eV/atom
- Total moment: 0.00 μB/cell
- Crystal system: monoclinic
- Relative energy among the computed polymorphs: 0.0 meV/atom

***

# 6
Below is a relaxed structure of LaSnTe, with properties calculated at the PBE level.

abc: 4.687 4.687 12.389
angles: 79.10 79.10 60.00
Sites, in units of the cell vectors:
Te1 0.283 0.283 0.150
Te2 0.717 0.717 0.850
Sn1 0.850 0.850 0.449
Sn2 0.150 0.150 0.551
La1 0.574 0.574 0.279
La2 0.426 0.426 0.721

- Formation energy without anion corrections: -938 meV per atom
- Total moment: 0.00 μB/cell
- Crystal system: trigonal

***

# 7
Below is a relaxed structure of MgRh4Au, with properties calculated at the PBE level.

abc: 5.169 5.169 5.169
angles: 60.00 60.00 60.00
Sites, in units of the cell vectors:
Au1 0.250 0.250 0.250
Mg1 0.000 0.000 0.000
Rh1 0.125 0.625 0.625
Rh2 0.625 0.625 0.625
Rh3 0.625 0.125 0.625
Rh4 0.625 0.625 0.125

- Formation energy from the elements: 0.0570 eV/atom
- Total moment: 1.72 μB/cell
- Crystal system: cubic

***

# 8
Below is a relaxed structure of PaBi3Se6, with properties calculated at the PBE level.

abc: 4.023 12.286 11.858
angles: 98.68 90.00 90.00
Sites, in units of the cell vectors:
Se1 0.250 0.050 0.869
Pa1 0.250 0.968 0.317
Se2 0.250 0.562 0.886
Se3 0.750 0.804 0.767
Se4 0.250 0.208 0.690
Se5 0.250 0.196 0.233
Se6 0.250 0.897 0.554
Se7 0.750 0.103 0.446
Bi1 0.750 0.669 0.493
Se8 0.750 0.792 0.310
Se9 0.750 0.950 0.131
Se10 0.750 0.438 0.114
Bi2 0.750 0.175 0.067
Bi3 0.250 0.614 0.120
Pa2 0.750 0.032 0.683
Bi4 0.750 0.386 0.880
Se11 0.250 0.545 0.374
Bi5 0.250 0.331 0.507
Bi6 0.250 0.825 0.933
Se12 0.750 0.455 0.626

- Formation energy without anion corrections: -611 meV per atom
- Total moment: 1.20 μB/cell
- Crystal system: monoclinic

***

# 9
Below is a relaxed structure of Mo2HRuPt, with properties calculated at the PBE level.

abc: 3.963 3.963 3.996
angles: 90.00 90.00 90.00
Sites, in units of the cell vectors:
H1 0.000 0.000 0.000
Pt1 0.000 0.000 0.500
Mo1 0.000 0.500 0.000
Ru1 0.500 0.500 0.500
Mo2 0.500 0.000 0.000

- Total moment: 0.00 μB/cell
- Crystal system: tetragonal
- Relative energy among the computed polymorphs: 74.2 meV/atom

***

# 10
Below is a relaxed structure of MoAuBr2, with properties calculated at the PBE level.

abc: 6.731 6.731 6.731
angles: 145.59 145.59 49.45
Sites, in units of the cell vectors:
Br1 0.250 0.750 0.500
Au1 0.750 0.250 0.500
Br2 0.000 0.000 0.000
Mo1 0.500 0.500 0.000

- Formation energy without anion corrections: 704 meV per atom
- Total moment: 4.37 μB/cell
- Crystal system: tetragonal
- Relative energy among the computed polymorphs: 620.3 meV/atom

***

# 11
Below is a relaxed structure of Mn4Pd5Pt4, with properties calculated at the PBE level.

abc: 3.981 7.308 7.308
angles: 85.75 74.20 74.20
Sites, in units of the cell vectors:
Mn1 0.230 0.628 0.913
Pd1 0.449 0.242 0.860
Pt1 0.914 0.469 0.703
Pd2 0.309 0.140 0.242
Pd3 0.000 0.000 0.000
Pd4 0.551 0.758 0.140
Mn2 0.142 0.087 0.628
Pd5 0.691 0.860 0.758
Pt2 0.086 0.531 0.297
Pt3 0.383 0.703 0.531
Mn3 0.858 0.913 0.372
Pt4 0.617 0.297 0.469
Mn4 0.770 0.372 0.087

- Formation energy from the elements: -0.2680 eV/atom
- Total moment: 17.84 μB/cell
- Crystal system: tetragonal

***

# 12
Below is a relaxed structure of UTe2Br2, with properties calculated at the PBE level.

abc: 7.305 7.791 7.849
angles: 82.03 72.79 62.04
Sites, in units of the cell vectors:
U1 0.150 0.700 0.500
Br1 0.550 0.431 0.273
Br2 0.981 0.569 0.273
Te1 0.904 0.000 0.823
U2 0.850 0.300 0.500
Te2 0.096 0.000 0.177
Br3 0.019 0.431 0.727
Te3 0.340 0.000 0.385
Te4 0.660 0.000 0.615
Br4 0.450 0.569 0.727

- Formation energy without anion corrections: -858 meV per atom
- Total moment: 4.01 μB/cell
- Crystal system: monoclinic

***

- Number 12 is which compound?
  UTe2Br2